VASP calculation (PBE) on BaNd2MoN4 after structural relaxation.

POSCAR file:
```
BaNd2MoN4
1.0
3.6039 0.0000 0.0000
-1.8020 6.3986 0.0000
0.0000 0.0000 12.4405
Ba Nd Mo N
2 4 2 8
Cartesian
0.0000 1.0497 9.3304 Ba
1.8020 5.3490 3.1101 Ba
0.0000 4.7448 6.6966 Nd
1.8020 1.6538 0.4763 Nd
1.8020 1.6538 5.7439 Nd
0.0000 4.7448 11.9642 Nd
1.8020 4.0961 9.3304 Mo
0.0000 2.3026 3.1101 Mo
0.0000 3.3010 1.5111 N
1.8020 3.0977 7.7314 N
1.8020 3.0977 10.9294 N
0.0000 3.3010 4.7092 N
0.0000 0.0000 6.2203 N
0.0000 0.0000 0.0000 N
0.0000 5.0649 9.3304 N
1.8020 1.3338 3.1101 N
```

Computed properties:
crystal system = orthorhombic
formation energy without anion corrections = -0.940 eV/atom



VASP calculation (PBE) on Pr4Ag2Ru after structural relaxation.

POSCAR file:
```
Pr4Ag2Ru
1.0
4.6928 0.0000 -1.3252
-0.4068 5.9155 -1.4405
-0.4058 -0.4044 7.5347
Pr Ag Ru
4 2 1
Cartesian
0.2340 4.4659 0.8286 Pr
3.6462 1.0451 3.9403 Pr
1.3323 3.9796 4.7179 Pr
2.5479 1.5314 0.0511 Pr
0.7368 1.7255 2.6091 Ag
3.1434 3.7855 2.1599 Ag
0.0000 0.0000 0.0000 Ru
```

Computed properties:
ΔH_f (0 K) = -1.20 eV per formula unit
polymorph energy (0 for the lowest one) = 0 meV/atom
crystal system = monoclinic



VASP calculation (PBE) on LiTb2Ga4 after structural relaxation.

POSCAR file:
```
LiTb2Ga4
1.0
5.7476 0.0000 0.0000
0.0000 5.7316 0.0000
0.0000 -2.8658 5.8170
Li Tb Ga
1 2 4
Cartesian
0.0000 2.8658 0.0000 Li
2.8738 0.0000 1.7048 Tb
2.8738 2.8658 4.1122 Tb
2.8738 2.8658 1.2027 Ga
0.0000 2.8658 4.4679 Ga
2.8738 0.0000 4.6144 Ga
0.0000 0.0000 1.3491 Ga
```

Computed properties:
ΔH_f (0 K) = 0.48 eV per formula unit
crystal system = orthorhombic



VASP calculation (PBE) on NaPm3Pr3Se8 after structural relaxation.

POSCAR file:
```
NaPm3Pr3Se8
1.0
-4.1457 7.2977 0.6351
-4.0706 -6.9546 -2.4335
2.5973 0.7807 7.9824
Na Pm Pr Se
1 3 3 8
Cartesian
1.2986 0.3904 3.9912 Na
-0.7742 4.0392 4.3088 Pm
-2.8095 0.5619 3.0920 Pm
-0.7366 -3.0869 2.7744 Pm
0.0000 0.0000 0.0000 Pr
-2.0353 -3.4773 -1.2168 Pr
-4.1081 0.1715 -0.8992 Pr
-2.4297 -1.4648 0.9710 Se
-3.1892 2.5886 5.2130 Se
-4.4724 2.2021 1.2778 Se
-1.1466 -1.0783 4.9062 Se
-2.4627 5.6361 2.4792 Se
-3.1562 -4.5123 3.7048 Se
-0.4156 2.0325 2.1656 Se
-5.2034 -0.9087 4.0185 Se
```

Computed properties:
crystal system = trigonal
formation energy without anion corrections = -1.811 eV/atom



VASP calculation (PBE) on Dy3Ge4Pt2 after structural relaxation.

POSCAR file:
```
Dy3Ge4Pt2
1.0
4.3216 0.0000 0.0000
-2.1608 5.2492 -1.3281
0.0000 0.0124 8.2808
Dy Ge Pt
3 4 2
Cartesian
2.1608 1.7342 5.0424 Dy
0.0000 0.0000 0.0000 Dy
0.0000 3.5274 1.9103 Dy
2.1608 2.4676 -0.0201 Ge
0.0000 2.7941 6.9729 Ge
2.1608 4.6301 3.8854 Ge
0.0000 0.6316 3.0673 Ge
2.1608 1.0884 1.9977 Pt
0.0000 4.1732 4.9551 Pt
```

Computed properties:
ΔH_f (0 K) = -8.55 eV per formula unit
crystal system = monoclinic



VASP calculation (PBE) on KSr3Ir after structural relaxation.

POSCAR file:
```
KSr3Ir
1.0
22.0134 0.0000 5.6009
6.8406 3.0151 -1.8349
-6.8406 3.0151 1.8349
Sr K Ir
6 2 2
Cartesian
6.6683 3.0151 0.0676 Sr
15.3452 3.0151 5.5333 Sr
19.6112 3.0151 5.6034 Sr
2.4022 3.0151 -0.0025 Sr
10.9906 3.0151 0.4863 Sr
11.0229 3.0151 5.1146 Sr
6.4592 3.0151 4.8222 K
15.5543 3.0151 0.7787 K
26.6171 3.0151 3.4881 Ir
-4.6036 3.0151 2.1128 Ir
```

Computed properties:
ΔH_f (0 K) = -0.26 eV per formula unit
polymorph energy (0 for the lowest one) = 48 meV/atom
crystal system = monoclinic



Number 1: magnetization 0.0 μB/f.u.. Number 2: magnetization 0.0 μB/f.u.. Number 3: magnetization 0.0 μB/f.u.. Number 4: magnetization 0.0 μB/f.u.. Number 5: magnetization 0.0 μB/f.u.. Number 6: magnetization 0.0 μB/f.u..